1.
K2BaZnF6, relaxed, DFT PBE; SG = P2_1/c, No. 14; DFT total energy = -4.593 eV per atom; magnetization = 0.00 μB per formula unit; D(E_F) = 0.000 states/eV per cell; formation energy from raw total energies = -2.9313 eV/atom
1.0
6.2536 0.0000 -0.0720
0.0000 6.4601 0.0000
-0.0494 0.0000 8.9462
Zn F K Ba
2 12 4 2
Direct
0.0000 0.5000 0.0000
0.5000 0.0000 0.5000
0.7657 0.8196 0.5488
0.8969 0.5454 0.2200
0.1751 0.2333 0.0628
0.2344 0.1804 0.4512
0.1031 0.4546 0.7800
0.2656 0.6804 0.0488
0.8249 0.7667 0.9372
0.3249 0.7333 0.4372
0.3969 0.9546 0.7200
0.6031 0.0454 0.2800
0.6751 0.2667 0.5628
0.7343 0.3196 0.9512
0.9834 0.0486 0.7492
0.5166 0.5486 0.7508
0.4834 0.4514 0.2492
0.0166 0.9514 0.2508
0.0000 0.5000 0.5000
0.5000 0.0000 0.0000

=====

2.
SmEr3B, relaxed, DFT PBE; SG = Pm-3m, No. 221; DFT total energy = -4.973 eV per atom; magnetization = 0.00 μB per formula unit; D(E_F) = 5.547 states/eV per cell
1.0
5.1247 0.0000 0.0000
0.0000 5.1247 0.0000
0.0000 0.0000 5.1247
Sm Er B
1 3 1
Direct
0.5000 0.5000 0.5000
0.5000 0.0000 0.0000
0.0000 0.0000 0.5000
0.0000 0.5000 0.0000
0.0000 0.0000 0.0000

=====

3.
AcCePt2, relaxed, DFT PBE; SG = R3m, No. 160; DFT total energy = -6.545 eV per atom; magnetization = 0.52 μB per formula unit; D(E_F) = 6.108 states/eV per cell; energy above the most stable polymorph in this dataset = 0.095 eV per atom
1.0
4.1863 0.0000 0.0000
2.0932 3.6255 0.0000
2.0932 1.2085 7.2949
Pt Ce Ac
2 1 1
Direct
0.0761 0.0761 0.7717
0.2576 0.2576 0.2271
0.6691 0.6691 0.9927
0.4972 0.4972 0.5085

=====

4.
Sc2Pd2O7, relaxed, DFT PBE; SG = Fd-3m, No. 227; DFT total energy = -7.067 eV per atom; magnetization = 0.00 μB per formula unit; formation energy from raw total energies = -1.8162 eV/atom
1.0
6.0791 0.0000 3.5098
2.0264 5.7314 3.5098
0.0000 0.0000 7.0196
O Sc Pd
14 4 4
Direct
0.0264 0.4736 0.4736
0.2236 0.2236 0.7764
0.2236 0.7764 0.7764
0.0264 0.0264 0.4736
0.7764 0.7764 0.2236
0.4736 0.0264 0.4736
0.7764 0.2236 0.7764
0.7500 0.7500 0.7500
0.4736 0.4736 0.0264
0.5000 0.5000 0.5000
0.4736 0.0264 0.0264
0.7764 0.2236 0.2236
0.2236 0.7764 0.2236
0.0264 0.4736 0.0264
0.6250 0.1250 0.6250
0.6250 0.6250 0.6250
0.1250 0.6250 0.6250
0.6250 0.6250 0.1250
0.1250 0.6250 0.1250
0.1250 0.1250 0.1250
0.6250 0.1250 0.1250
0.1250 0.1250 0.6250

=====

Copy entry 3 word for word.
AcCePt2, relaxed, DFT PBE; SG = R3m, No. 160; DFT total energy = -6.545 eV per atom; magnetization = 0.52 μB per formula unit; D(E_F) = 6.108 states/eV per cell; energy above the most stable polymorph in this dataset = 0.095 eV per atom
1.0
4.1863 0.0000 0.0000
2.0932 3.6255 0.0000
2.0932 1.2085 7.2949
Pt Ce Ac
2 1 1
Direct
0.0761 0.0761 0.7717
0.2576 0.2576 0.2271
0.6691 0.6691 0.9927
0.4972 0.4972 0.5085